Entry 1
This record from Alexandria via LeMat-Bulk describes crystalline Mn2AuBr at its relaxed geometry. The functional is PBE-GGA.

Structure (POSCAR):
```
Mn2AuBr
1.0
6.690 0.000 0.000
0.000 6.690 0.000
0.000 0.000 6.690
Mn Au Br
8 4 4
direct
0.000 0.000 0.000
0.000 0.500 0.500
0.250 0.250 0.250
0.250 0.750 0.750
0.500 0.000 0.500
0.500 0.500 0.000
0.750 0.250 0.750
0.750 0.750 0.250
0.000 0.000 0.500
0.000 0.500 0.000
0.500 0.000 0.000
0.500 0.500 0.500
0.250 0.250 0.750
0.250 0.750 0.250
0.750 0.250 0.250
0.750 0.750 0.750
```

Results
M_tot = 2.00 μB/atom
space-group type = No. 216

Entry 2
This record from Alexandria via LeMat-Bulk describes crystalline Mn2AuBr at its relaxed geometry. The functional is PBE-GGA.

Structure (POSCAR):
```
Mn2AuBr
1.0
3.799 0.000 0.000
0.000 3.799 0.000
0.000 0.000 11.230
Mn Au Br
4 2 2
direct
0.000 0.000 0.000
0.000 0.500 0.250
0.500 0.000 0.750
0.500 0.500 0.500
0.000 0.500 0.750
0.500 0.000 0.250
0.000 0.000 0.500
0.500 0.500 0.000
```

Results
M_tot = 2.24 μB/atom
space-group type = No. 119

If you had to name the least stable structure above, which would it be? It would be entry 1.